1.
# PBE LaSmInSn, relaxed
# VASP energy = -4.663 eV per atom
# energy relative to the elements = -0.57 eV/atom
# excess energy over the best structure of this formula in the dataset = 0.075 eV/atom
data_LaSmInSn
_space_group_name_H-M_alt 'F -4 3 m'
_space_group_IT_number 216
_space_group_name_Hall 'F -4 2 3'
_cell_length_a 7.7966
_cell_length_b 7.7966
_cell_length_c 7.7966
_cell_angle_alpha 90.00
_cell_angle_beta 90.00
_cell_angle_gamma 90.00
loop_
_atom_site_label
_atom_site_type_symbol
_atom_site_fract_x
_atom_site_fract_y
_atom_site_fract_z
_atom_site_occupancy
La1 La 0.0000 0.0000 0.0000 1
Sm1 Sm 0.0000 0.0000 0.5000 1
In1 In 0.2500 0.2500 0.7500 1
Sn1 Sn 0.2500 0.2500 0.2500 1



2.
# PBE BeIrSeN2, relaxed
# VASP energy = -5.645 eV per atom
# uncorrected formation energy = 0.900 eV/atom
# excess energy over the best structure of this formula in the dataset = 0.000 eV/atom
data_BeIrSeN2
_space_group_name_H-M_alt 'P 4/m m m'
_space_group_IT_number 123
_space_group_name_Hall '-P 4 2'
_cell_length_a 3.7215
_cell_length_b 3.7215
_cell_length_c 5.6288
_cell_angle_alpha 90.00
_cell_angle_beta 90.00
_cell_angle_gamma 90.00
loop_
_atom_site_label
_atom_site_type_symbol
_atom_site_fract_x
_atom_site_fract_y
_atom_site_fract_z
_atom_site_occupancy
Be1 Be 0.0000 0.0000 0.0000 1
Ir1 Ir 0.5000 0.5000 0.5000 1
Se1 Se 0.5000 0.5000 0.0000 1
N1 N 0.0000 0.5000 0.5000 1



3.
# PBE SrCoCuGe2, relaxed
# VASP energy = -4.764 eV per atom
# energy relative to the elements = -0.34 eV/atom
data_SrCoCuGe2
_space_group_name_H-M_alt 'I -4 m 2'
_space_group_IT_number 119
_space_group_name_Hall 'I -4 -2'
_cell_length_a 4.2003
_cell_length_b 4.2003
_cell_length_c 10.4572
_cell_angle_alpha 90.00
_cell_angle_beta 90.00
_cell_angle_gamma 90.00
loop_
_atom_site_label
_atom_site_type_symbol
_atom_site_fract_x
_atom_site_fract_y
_atom_site_fract_z
_atom_site_occupancy
Sr1 Sr 0.0000 0.0000 0.0000 1
Co1 Co 0.0000 0.5000 0.7500 1
Cu1 Cu 0.0000 0.5000 0.2500 1
Ge1 Ge 0.0000 0.0000 0.3646 1



4.
# PBE Y5MgCu, relaxed
# VASP energy = -5.400 eV per atom
# energy relative to the elements = 0.03 eV/atom
# excess energy over the best structure of this formula in the dataset = 0.000 eV/atom
data_Y5MgCu
_space_group_name_H-M_alt 'P 4/m m m'
_space_group_IT_number 123
_space_group_name_Hall '-P 4 2'
_cell_length_a 4.9201
_cell_length_b 4.9201
_cell_length_c 8.2715
_cell_angle_alpha 90.00
_cell_angle_beta 90.00
_cell_angle_gamma 90.00
loop_
_atom_site_label
_atom_site_type_symbol
_atom_site_fract_x
_atom_site_fract_y
_atom_site_fract_z
_atom_site_occupancy
Y1 Y 0.0000 0.0000 0.0000 1
Y2 Y 0.0000 0.5000 0.2998 1
Mg1 Mg 0.5000 0.5000 0.0000 1
Cu1 Cu 0.0000 0.0000 0.5000 1



5.
# PBE InPb2IBr4, relaxed
# VASP energy = -3.066 eV per atom
# uncorrected formation energy = -0.766 eV/atom
data_InPb2IBr4
_space_group_name_H-M_alt 'C 1 2/m 1'
_space_group_IT_number 12
_space_group_name_Hall '-C 2y'
_cell_length_a 16.0027
_cell_length_b 4.2689
_cell_length_c 10.6114
_cell_angle_alpha 90.00
_cell_angle_beta 120.99
_cell_angle_gamma 90.00
loop_
_atom_site_label
_atom_site_type_symbol
_atom_site_fract_x
_atom_site_fract_y
_atom_site_fract_z
_atom_site_occupancy
In1 In 0.0000 0.0000 0.0000 1
Pb1 Pb 0.1772 0.0000 0.7457 1
I1 I 0.0000 0.5000 0.5000 1
Br1 Br 0.1347 0.5000 0.9351 1
Br2 Br 0.2117 0.0000 0.3043 1